VASP calculation (GGA-PBE) on crystalline ZrSi at its relaxed geometry.

**Energy**: -7.512 eV/atom
**Crystal system**: monoclinic

Cell lengths 5.589, 10.153, 3.839 Å; angles 90.00, 90.00, 94.47 degrees
Element x y z (fractional)
Si1 0.303 0.183 0.000
Si2 0.865 0.982 0.000
Si3 0.079 0.083 0.500
Si4 0.570 0.089 0.500
Si5 0.812 0.440 0.500
Si6 0.359 0.727 0.500
Zr1 0.793 0.249 0.000
Zr2 0.584 0.582 0.000
Zr3 0.085 0.583 0.000
Zr4 0.379 0.917 0.000
Zr5 0.298 0.362 0.500
Zr6 0.873 0.802 0.500

VASP calculation (GGA-PBE) on crystalline HfMgReAs at its relaxed geometry.

**ΔE to the lowest computed polymorph**: 143 meV per atom
**Crystal system**: cubic

Cell lengths 4.572, 4.572, 4.572 Å; angles 60.00, 60.00, 60.00 degrees
Element x y z (fractional)
As1 0.250 0.250 0.250
Hf1 0.000 0.000 0.000
Mg1 0.750 0.750 0.750
Re1 0.500 0.500 0.500

VASP calculation (GGA-PBE) on crystalline Tm3Co4Ge13 at its relaxed geometry.

**Energy**: -5.495 eV/atom
**Crystal system**: cubic

Cell lengths 8.746, 8.746, 8.746 Å; angles 90.00, 90.00, 90.00 degrees
Element x y z (fractional)
Co1 0.250 0.250 0.250
Co2 0.750 0.250 0.250
Co3 0.250 0.750 0.250
Co4 0.750 0.750 0.250
Co5 0.250 0.250 0.750
Co6 0.750 0.250 0.750
Co7 0.250 0.750 0.750
Co8 0.750 0.750 0.750
Ge1 0.000 0.000 0.000
Ge2 0.305 0.153 0.000
Ge3 0.695 0.153 0.000
Ge4 0.305 0.847 0.000
Ge5 0.695 0.847 0.000
Ge6 0.000 0.305 0.153
Ge7 0.000 0.695 0.153
Ge8 0.500 0.347 0.195
Ge9 0.500 0.653 0.195
Ge10 0.153 0.000 0.305
Ge11 0.847 0.000 0.305
Ge12 0.195 0.500 0.347
Ge13 0.805 0.500 0.347
Ge14 0.347 0.195 0.500
Ge15 0.653 0.195 0.500
Ge16 0.500 0.500 0.500
Ge17 0.347 0.805 0.500
Ge18 0.653 0.805 0.500
Ge19 0.195 0.500 0.653
Ge20 0.805 0.500 0.653
Ge21 0.153 0.000 0.695
Ge22 0.847 0.000 0.695
Ge23 0.500 0.347 0.805
Ge24 0.500 0.653 0.805
Ge25 0.000 0.305 0.847
Ge26 0.000 0.695 0.847
Tm1 0.250 0.500 0.000
Tm2 0.750 0.500 0.000
Tm3 0.500 0.000 0.250
Tm4 0.000 0.250 0.500
Tm5 0.000 0.750 0.500
Tm6 0.500 0.000 0.750

VASP calculation (GGA-PBE) on crystalline Y2GaCo2 at its relaxed geometry.

**Energy**: -6.435 eV/atom
**Crystal system**: orthorhombic

Cell lengths 5.371, 5.371, 5.371 Å; angles 135.66, 119.34, 78.16 degrees
Element x y z (fractional)
Co1 0.716 0.500 0.216
Co2 0.284 0.500 0.784
Ga1 0.000 0.000 0.000
Y1 0.706 0.206 0.500
Y2 0.294 0.794 0.500

VASP calculation (GGA-PBE) on crystalline NaTaFe at its relaxed geometry.

**ΔE to the lowest computed polymorph**: 0 meV per atom
**Crystal system**: cubic

Cell lengths 4.232, 4.232, 4.232 Å; angles 60.00, 60.00, 60.00 degrees
Element x y z (fractional)
Fe1 0.000 0.000 0.000
Na1 0.250 0.250 0.250
Ta1 0.750 0.750 0.750

VASP calculation (GGA-PBE) on crystalline AcCdIr at its relaxed geometry.

**ΔH_f (0 K)**: 0.338 eV per atom
**ΔE to the lowest computed polymorph**: 177 meV per atom
**Crystal system**: cubic

Cell lengths 5.058, 5.058, 5.058 Å; angles 60.00, 60.00, 60.00 degrees
Element x y z (fractional)
Ac1 0.000 0.000 0.000
Cd1 0.250 0.250 0.250
Ir1 0.750 0.750 0.750

VASP calculation (GGA-PBE) on crystalline Rb2ZrAg2Se3S at its relaxed geometry.

**Energy**: -4.412 eV/atom
**Crystal system**: triclinic

Cell lengths 6.261, 6.278, 7.693 Å; angles 66.02, 89.98, 89.63 degrees
Element x y z (fractional)
Ag1 0.499 0.004 0.004
Ag2 0.006 0.497 0.004
Rb1 0.261 0.502 0.498
Rb2 0.740 0.002 0.498
S1 0.223 0.120 0.205
Se1 0.770 0.659 0.222
Se2 0.234 0.875 0.783
Se3 0.767 0.342 0.784
Zr1 0.001 0.000 0.002

VASP calculation (GGA-PBE) on crystalline Al2NiMo at its relaxed geometry.

**Energy**: -5.993 eV/atom
**Crystal system**: cubic

Cell lengths 4.306, 4.306, 4.306 Å; angles 60.00, 60.00, 60.00 degrees
Element x y z (fractional)
Al1 0.250 0.250 0.250
Al2 0.500 0.500 0.500
Mo1 0.750 0.750 0.750
Ni1 0.000 0.000 0.000

VASP calculation (GGA-PBE) on crystalline NdBeNO at its relaxed geometry.

**ΔE to the lowest computed polymorph**: 111 meV per atom
**Crystal system**: orthorhombic

Cell lengths 5.402, 6.672, 4.998 Å; angles 90.00, 90.00, 90.00 degrees
Element x y z (fractional)
Be1 0.086 0.092 0.013
Be2 0.586 0.908 0.013
Be3 0.414 0.092 0.513
Be4 0.914 0.908 0.513
N1 0.345 0.008 0.195
N2 0.845 0.992 0.195
N3 0.155 0.008 0.695
N4 0.655 0.992 0.695
Nd1 0.965 0.284 0.492
Nd2 0.465 0.716 0.492
Nd3 0.535 0.284 0.992
Nd4 0.035 0.716 0.992
O1 0.026 0.347 0.002
O2 0.526 0.653 0.002
O3 0.474 0.347 0.502
O4 0.974 0.653 0.502

VASP calculation (GGA-PBE) on crystalline CoW at its relaxed geometry.

**ΔH_f (0 K)**: -0.006 eV per atom
**Crystal system**: hexagonal

Cell lengths 4.817, 4.817, 7.820 Å; angles 90.00, 90.00, 120.00 degrees
Element x y z (fractional)
Co1 0.349 0.174 0.250
Co2 0.826 0.174 0.250
Co3 0.826 0.651 0.250
Co4 0.174 0.349 0.750
Co5 0.174 0.826 0.750
Co6 0.651 0.826 0.750
W1 0.000 0.000 0.000
W2 0.333 0.667 0.076
W3 0.333 0.667 0.424
W4 0.000 0.000 0.500
W5 0.667 0.333 0.576
W6 0.667 0.333 0.924

VASP calculation (GGA-PBE) on crystalline Li8TbO6 at its relaxed geometry.

**Energy**: -5.305 eV/atom
**Crystal system**: trigonal

Cell lengths 6.208, 6.208, 6.208 Å; angles 53.32, 53.32, 53.32 degrees
Element x y z (fractional)
Li1 0.774 0.489 0.106
Li2 0.511 0.894 0.226
Li3 0.347 0.347 0.347
Li4 0.106 0.774 0.489
Li5 0.894 0.226 0.511
Li6 0.653 0.653 0.653
Li7 0.489 0.106 0.774
Li8 0.226 0.511 0.894
O1 0.403 0.755 0.097
O2 0.903 0.597 0.245
O3 0.755 0.097 0.403
O4 0.245 0.903 0.597
O5 0.097 0.403 0.755
O6 0.597 0.245 0.903
Tb1 0.000 0.000 0.000

VASP calculation (GGA-PBE) on crystalline SrPd at its relaxed geometry.

**Energy**: -3.503 eV/atom
**Crystal system**: cubic

Cell lengths 4.786, 4.786, 4.786 Å; angles 60.00, 60.00, 60.00 degrees
Element x y z (fractional)
Pd1 0.000 0.000 0.000
Sr1 0.250 0.250 0.250

VASP calculation (GGA-PBE) on crystalline LaErTm at its relaxed geometry.

**ΔH_f (0 K)**: 0.699 eV per atom
**ΔE to the lowest computed polymorph**: 0 meV per atom
**Crystal system**: cubic

Cell lengths 5.455, 5.455, 5.455 Å; angles 60.00, 60.00, 60.00 degrees
Element x y z (fractional)
Er1 0.250 0.250 0.250
La1 0.750 0.750 0.750
Tm1 0.000 0.000 0.000

VASP calculation (GGA-PBE) on crystalline CsTcSeS2 at its relaxed geometry.

**Energy**: -5.278 eV/atom
**Crystal system**: triclinic

Cell lengths 6.201, 7.642, 7.666 Å; angles 106.55, 110.81, 101.95 degrees
Element x y z (fractional)
Cs1 0.763 0.852 0.155
Cs2 0.237 0.148 0.845
S1 0.814 0.349 0.300
S2 0.351 0.238 0.401
S3 0.649 0.762 0.599
S4 0.186 0.651 0.700
Se1 0.204 0.599 0.150
Se2 0.796 0.401 0.850
Tc1 0.246 0.501 0.424
Tc2 0.754 0.499 0.576

VASP calculation (GGA-PBE) on crystalline NaHfAgS3 at its relaxed geometry.

**ΔE to the lowest computed polymorph**: 52 meV per atom
**Crystal system**: monoclinic

Cell lengths 8.320, 8.320, 8.731 Å; angles 103.21, 103.21, 25.73 degrees
Element x y z (fractional)
Ag1 0.533 0.533 0.237
Ag2 0.467 0.467 0.763
Hf1 0.166 0.166 0.088
Hf2 0.834 0.834 0.912
Na1 0.875 0.875 0.423
Na2 0.125 0.125 0.577
S1 0.000 0.000 0.000
S2 0.329 0.329 0.115
S3 0.694 0.694 0.293
S4 0.500 0.500 0.500
S5 0.306 0.306 0.707
S6 0.671 0.671 0.885

VASP calculation (GGA-PBE) on crystalline SrAsIrO at its relaxed geometry.

**ΔE to the lowest computed polymorph**: 1573 meV per atom
**Crystal system**: tetragonal

Cell lengths 4.356, 4.356, 7.269 Å; angles 90.00, 90.00, 90.00 degrees
Element x y z (fractional)
As1 0.000 0.500 0.200
As2 0.500 0.000 0.800
Ir1 0.500 0.000 0.133
Ir2 0.000 0.500 0.867
O1 0.000 0.000 0.000
O2 0.500 0.500 0.000
Sr1 0.000 0.000 0.500
Sr2 0.500 0.500 0.500

VASP calculation (GGA-PBE) on crystalline La5P12Ir19 at its relaxed geometry.

**Energy**: -7.942 eV/atom
**Crystal system**: hexagonal

Cell lengths 12.843, 12.843, 4.043 Å; angles 90.00, 90.00, 120.00 degrees
Element x y z (fractional)
Ir1 0.000 0.000 0.000
Ir2 0.540 0.000 0.000
Ir3 0.801 0.181 0.000
Ir4 0.379 0.199 0.000
Ir5 0.199 0.379 0.000
Ir6 0.460 0.460 0.000
Ir7 0.000 0.540 0.000
Ir8 0.819 0.621 0.000
Ir9 0.181 0.801 0.000
Ir10 0.621 0.819 0.000
Ir11 0.713 0.000 0.500
Ir12 0.492 0.129 0.500
Ir13 0.287 0.287 0.500
Ir14 0.871 0.363 0.500
Ir15 0.129 0.492 0.500
Ir16 0.637 0.508 0.500
Ir17 0.508 0.637 0.500
Ir18 0.000 0.713 0.500
Ir19 0.363 0.871 0.500
La1 0.667 0.333 0.000
La2 0.333 0.667 0.000
La3 0.186 0.000 0.500
La4 0.000 0.186 0.500
La5 0.814 0.814 0.500
P1 0.362 0.000 0.000
P2 0.818 0.000 0.000
P3 0.182 0.182 0.000
P4 0.000 0.362 0.000
P5 0.638 0.638 0.000
P6 0.000 0.818 0.000
P7 0.690 0.171 0.500
P8 0.481 0.310 0.500
P9 0.310 0.481 0.500
P10 0.829 0.519 0.500
P11 0.171 0.690 0.500
P12 0.519 0.829 0.500

VASP calculation (GGA-PBE) on crystalline RbLuB at its relaxed geometry.

**ΔE to the lowest computed polymorph**: 0 meV per atom
**Crystal system**: cubic

Cell lengths 4.825, 4.825, 4.825 Å; angles 60.00, 60.00, 60.00 degrees
Element x y z (fractional)
B1 0.000 0.000 0.000
Lu1 0.250 0.250 0.250
Rb1 0.750 0.750 0.750

VASP calculation (GGA-PBE) on crystalline BaOs2O6 at its relaxed geometry.

**Energy**: -7.405 eV/atom
**Crystal system**: cubic

Cell lengths 7.131, 7.131, 7.131 Å; angles 60.00, 60.00, 60.00 degrees
Element x y z (fractional)
Ba1 0.000 0.000 0.000
Ba2 0.250 0.250 0.250
O1 0.700 0.300 0.300
O2 0.300 0.700 0.300
O3 0.700 0.700 0.300
O4 0.950 0.950 0.550
O5 0.950 0.550 0.550
O6 0.550 0.950 0.550
O7 0.700 0.300 0.700
O8 0.300 0.700 0.700
O9 0.300 0.300 0.700
O10 0.550 0.550 0.950
O11 0.950 0.550 0.950
O12 0.550 0.950 0.950
Os1 0.625 0.625 0.125
Os2 0.625 0.125 0.625
Os3 0.125 0.625 0.625
Os4 0.625 0.625 0.625

VASP calculation (GGA-PBE) on crystalline Li3Cd2Hg at its relaxed geometry.

**Energy**: -1.598 eV/atom
**Crystal system**: tetragonal

Cell lengths 3.342, 3.342, 9.524 Å; angles 90.00, 90.00, 90.00 degrees
Element x y z (fractional)
Cd1 0.000 0.000 0.167
Cd2 0.000 0.000 0.833
Hg1 0.000 0.000 0.500
Li1 0.500 0.500 0.000
Li2 0.500 0.500 0.338
Li3 0.500 0.500 0.662

VASP calculation (GGA-PBE) on crystalline BaZnSb2Pd at its relaxed geometry.

**Energy**: -4.005 eV/atom
**Crystal system**: tetragonal

Cell lengths 4.838, 4.838, 11.045 Å; angles 90.00, 90.00, 90.00 degrees
Element x y z (fractional)
Ba1 0.000 0.500 0.251
Ba2 0.500 0.000 0.749
Pd1 0.500 0.000 0.380
Pd2 0.000 0.500 0.620
Sb1 0.500 0.000 0.132
Sb2 0.000 0.000 0.500
Sb3 0.500 0.500 0.500
Sb4 0.000 0.500 0.868
Zn1 0.000 0.000 0.000
Zn2 0.500 0.500 0.000

VASP calculation (GGA-PBE) on crystalline LiMgZn2 at its relaxed geometry.

**Energy**: -1.655 eV/atom
**Crystal system**: cubic

Cell lengths 4.422, 4.422, 4.422 Å; angles 60.00, 60.00, 60.00 degrees
Element x y z (fractional)
Li1 0.500 0.500 0.500
Mg1 0.250 0.250 0.250
Zn1 0.000 0.000 0.000
Zn2 0.750 0.750 0.750